(1)
Compound: HfUIn2
Source: the Alexandria database
Functional: PBE-GGA
Structure: optimized geometry

abc: 4.7890 4.4324 4.4324
angles: 90.00 90.00 90.00
Atoms (fractional coordinates):
Hf1 0.5000 0.5000 0.5000
In1 0.0000 0.5000 0.0000
U1 0.5000 0.0000 0.0000
In2 0.0000 0.0000 0.5000

=====

(2)
Compound: NbInIr
Source: the Alexandria database
Functional: PBE-GGA
Structure: optimized geometry

abc: 6.2383 4.6472 6.6724
angles: 71.71 62.13 47.84
Atoms (fractional coordinates):
In1 0.8054 0.3892 0.0000
Ir1 0.3518 0.0000 0.2964
In2 0.1946 0.6108 0.0000
Nb1 0.2500 0.5000 0.5000
Ir2 0.6482 0.0000 0.7036
Nb2 0.7500 0.5000 0.5000

=====

(3)
Compound: SmDyAlZn
Source: the Alexandria database
Functional: PBE-GGA
Structure: optimized geometry

abc: 3.6018 3.6018 7.3527
angles: 90.00 90.00 90.00
Atoms (fractional coordinates):
Sm1 0.0000 0.0000 0.8541
Zn1 0.5000 0.5000 0.5948
Al1 0.5000 0.5000 0.1160
Dy1 0.0000 0.0000 0.3630

=====

Number 1: size of the total moment 2.76 μB/f.u., formation enthalpy at 0 K 0.1607 eV/atom, energy -26.08 eV/f.u.. Number 2: size of the total moment 0.00 μB/f.u., formation enthalpy at 0 K -0.0567 eV/atom, energy -21.84 eV/f.u.. Number 3: size of the total moment 0.00 μB/f.u., formation enthalpy at 0 K -0.3656 eV/atom, energy -15.80 eV/f.u..